Compound: RePRhS2
Source: the Alexandria database
Functional: PBE-GGA
Structure: relaxed

Summary:
Formation energy without anion corrections = 0.861 eV per atom
Excess energy over the best structure of this formula in the dataset = 0.000 eV/atom
M_tot = 0.1 Bohr magnetons per cell

abc: 4.5306 4.5306 4.7001
angles: 90.00 90.00 90.00
Space group P4/mmm (No. 123)
One atom of each set of equivalent atoms:
Re 0.0000 0.0000 0.0000 [1 per cell]
P 0.0000 0.0000 0.5000 [1 per cell]
Rh 0.5000 0.5000 0.5000 [1 per cell]
S 0.0000 0.5000 0.0000 [2 per cell]